1.
4
Lattice="-1.4329 1.9398 7.4646 1.4329 -1.9398 7.4646 1.4329 1.9398 -7.4646" Properties=species:S:1:pos:R:3 comment="AlHgAu2, relaxed, DFT PBE-GGA" dos_at_fermi_per_ev_atom=0.305 dft_energy_ev_per_fu=-11.252 pbc="T T T"
Al 0.0000 0.0000 0.0000
Hg 0.0000 1.9398 4.0332
Au 1.4329 0.0000 2.1519
Au 0.0000 0.0000 6.3471

=====

2.
10
Lattice="8.5736 0.0000 0.0000 0.0000 8.5736 0.0000 0.0000 0.0000 2.9351" Properties=species:S:1:pos:R:3 comment="AlHg2Au2, relaxed, DFT PBE-GGA" dos_at_fermi_per_ev_atom=0.245 dft_energy_ev_per_fu=-9.917 pbc="T T T"
Al 0.0000 0.0000 0.0000
Al 4.2868 4.2868 0.0000
Hg 1.1184 3.1684 0.0000
Hg 3.1684 7.4552 0.0000
Hg 5.4052 1.1184 0.0000
Hg 7.4552 5.4052 0.0000
Au 1.4479 5.7347 1.4676
Au 2.8389 1.4479 1.4676
Au 5.7347 7.1257 1.4676
Au 7.1257 2.8389 1.4676

=====

3.
4
Lattice="3.1063 0.0000 0.0000 0.0000 3.0861 0.0000 -0.3305 0.0000 8.1027" Properties=species:S:1:pos:R:3 comment="Al2HgAu, relaxed, DFT PBE-GGA" dos_at_fermi_per_ev_atom=0.266 dft_energy_ev_per_fu=-11.431 pbc="T T T"
Al 0.0035 0.0000 1.6939
Al 2.7723 0.0000 6.4088
Hg -0.1652 1.5431 4.0513
Au 1.5531 1.5431 0.0000

=====

4.
4
Lattice="0.0000 3.3513 3.3513 3.3513 0.0000 3.3513 3.3513 3.3513 0.0000" Properties=species:S:1:pos:R:3 comment="AlHgAu2, relaxed, DFT PBE-GGA" dos_at_fermi_per_ev_atom=0.531 dft_energy_ev_per_fu=-10.324 pbc="T T T"
Al 0.0000 0.0000 0.0000
Hg 5.0270 5.0270 5.0270
Au 1.6757 1.6757 1.6757
Au 3.3513 3.3513 3.3513

=====

Number 1: polymorph energy (0 for the lowest one) 10 meV/atom, total magnetization 0.0 μB per cell, DFT formation energy -0.163 eV/atom. Number 2: polymorph energy (0 for the lowest one) 163 meV/atom, total magnetization 0.0 μB per cell, DFT formation energy 0.197 eV/atom. Number 3: polymorph energy (0 for the lowest one) 20 meV/atom, total magnetization 0.0 μB per cell, DFT formation energy -0.092 eV/atom. Number 4: polymorph energy (0 for the lowest one) 242 meV/atom, total magnetization 0.0 μB per cell, DFT formation energy 0.069 eV/atom.